[1]
SrSb2Mo: relaxed, PBE.

a b c (Å): 3.4151 4.2238 7.8161
angles (deg): 90.00 90.00 90.00
Element x y z (fractional)
Sr1 0.0000 0.0000 0.0000
Sb1 0.0000 0.0000 0.5790
Sb2 0.5000 0.5000 0.2530
Mo1 0.5000 0.5000 0.6049

## Properties
Relative energy among the computed polymorphs   340 meV per atom

---

[2]
SrSb2Mo: relaxed, PBE.

a b c (Å): 5.0046 5.0046 4.2158
angles (deg): 90.00 90.00 90.00
Element x y z (fractional)
Sr1 0.0000 0.0000 0.0000
Sb1 0.0000 0.5000 0.5000
Sb2 0.5000 0.0000 0.5000
Mo1 0.5000 0.5000 0.0000

## Properties
Relative energy among the computed polymorphs   477 meV per atom

---

[3]
SrSb2Mo: relaxed, PBE.

a b c (Å): 3.4651 3.4651 8.0263
angles (deg): 90.00 90.00 90.00
Element x y z (fractional)
Sr1 0.0000 0.0000 0.0000
Sb1 0.5000 0.5000 0.3033
Sb2 0.5000 0.5000 0.6967
Mo1 0.0000 0.0000 0.5000

## Properties
Relative energy among the computed polymorphs   0 meV per atom

---

[4]
SrSbMo2: relaxed, PBE.

a b c (Å): 4.5693 4.5693 6.9642
angles (deg): 98.90 98.90 43.68
Element x y z (fractional)
Sr1 0.0000 0.0000 0.0000
Sb1 0.2362 0.2362 0.6634
Mo1 0.4916 0.4916 0.4621
Mo2 0.7708 0.7708 0.3398

---

[5]
Sr3SbMo: relaxed, PBE.

a b c (Å): 6.2531 6.2531 6.2531
angles (deg): 90.00 90.00 90.00
Element x y z (fractional)
Sr1 0.0000 0.0000 0.5000
Sr2 0.0000 0.5000 0.0000
Sr3 0.5000 0.0000 0.0000
Sb1 0.0000 0.0000 0.0000
Mo1 0.5000 0.5000 0.5000

## Properties
Relative energy among the computed polymorphs   0 meV per atom

---

[6]
SrSb2Mo: relaxed, PBE.

a b c (Å): 5.1294 5.1294 4.0273
angles (deg): 90.00 90.00 100.25
Element x y z (fractional)
Sr1 0.0000 0.0000 0.0000
Sb1 0.0000 0.5000 0.5000
Sb2 0.5000 0.0000 0.5000
Mo1 0.5000 0.5000 0.0000

## Properties
Relative energy among the computed polymorphs   463 meV per atom

---

[7]
SrSb2Mo: relaxed, PBE.

a b c (Å): 5.1259 5.1259 5.1259
angles (deg): 60.00 60.00 60.00
Element x y z (fractional)
Sr1 0.0000 0.0000 0.0000
Sb1 0.2500 0.2500 0.2500
Sb2 0.7500 0.7500 0.7500
Mo1 0.5000 0.5000 0.5000

## Properties
Relative energy among the computed polymorphs   309 meV per atom

---

[8]
SrSbMo2: relaxed, PBE.

a b c (Å): 6.0066 6.0066 6.0066
angles (deg): 147.37 127.71 63.01
Element x y z (fractional)
Sr1 0.0000 0.0000 0.0000
Sb1 0.7127 0.2127 0.5000
Mo1 0.2845 0.7845 0.5000
Mo2 0.4573 0.4573 0.0000

---

[9]
Sr4SbMo: relaxed, PBE.

a b c (Å): 6.8668 6.8668 6.8668
angles (deg): 60.00 60.00 60.00
Element x y z (fractional)
Sr1 0.1251 0.1251 0.1251
Sr2 0.1251 0.1251 0.6248
Sr3 0.1251 0.6248 0.1251
Sr4 0.6248 0.1251 0.1251
Sb1 0.5000 0.5000 0.5000
Mo1 0.7500 0.7500 0.7500

---

[10]
SrSb2Mo: relaxed, PBE.

a b c (Å): 4.1823 5.2159 5.3405
angles (deg): 90.00 90.00 90.00
Element x y z (fractional)
Sr1 0.0000 0.0000 0.0000
Sb1 0.5000 0.0000 0.5183
Sb2 0.5000 0.5000 0.1541
Mo1 0.5000 0.5000 0.6705

## Properties
Relative energy among the computed polymorphs   307 meV per atom

---

[11]
SrSb2Mo: relaxed, PBE.

a b c (Å): 6.7677 6.7677 6.7677
angles (deg): 106.27 106.27 116.09
Element x y z (fractional)
Sr1 0.0000 0.0000 0.0000
Sr2 0.7500 0.2500 0.5000
Sb1 0.1844 0.6250 0.0594
Sb2 0.3750 0.4344 0.5594
Sb3 0.5656 0.1250 0.9406
Sb4 0.8750 0.8156 0.4406
Mo1 0.2500 0.7500 0.5000
Mo2 0.5000 0.5000 0.0000

## Properties
Relative energy among the computed polymorphs   265 meV per atom

---

[12]
SrSb2Mo: relaxed, PBE.

a b c (Å): 8.2151 8.2151 8.2151
angles (deg): 154.98 152.59 37.45
Element x y z (fractional)
Sr1 0.0000 0.0000 0.0000
Sb1 0.3704 0.3704 0.0000
Sb2 0.6724 0.1724 0.5000
Mo1 0.2399 0.7399 0.5000

## Properties
Relative energy among the computed polymorphs   98 meV per atom

---

| no. | DOS at the Fermi energy (states/eV/f.u.) | ΔE_f (raw) (eV per atom) | density (kg/m3) |
| --- | --- | --- | --- |
| 1 | 4.0 | 0.126 | 6290 |
| 2 | 3.3 | 0.263 | 6717 |
| 3 | 1.5 | -0.214 | 7359 |
| 4 | 3.0 | 0.279 | 6730 |
| 5 | 5.0 | 0.535 | 3264 |
| 6 | 2.9 | 0.249 | 6801 |
| 7 | 4.3 | 0.095 | 7447 |
| 8 | 3.0 | 0.523 | 7283 |
| 9 | 4.3 | 0.852 | 4121 |
| 10 | 2.8 | 0.093 | 6087 |
| 11 | 2.6 | 0.051 | 6005 |
| 12 | 4.1 | -0.115 | 6581 |